[1]
{
  "formula": "CoBr",
  "functional": "GGA-PBE",
  "state": "optimized geometry",
  "lattice_angstrom": [[6.8580, 0.0000, 0.0000], [0.0000, 7.3983, 0.0000], [0.0000, 0.0000, 7.2479]],
  "species": ["Co", "Co", "Co", "Co", "Co", "Co", "Co", "Co", "Br", "Br", "Br", "Br", "Br", "Br", "Br", "Br"],
  "fractional_positions": [[0.3320, 0.1714, 0.0281], [0.8320, 0.3286, 0.9719], [0.6680, 0.6714, 0.4719], [0.1680, 0.8286, 0.5281], [0.3852, 0.6126, 0.6475], [0.8852, 0.8874, 0.3525], [0.6148, 0.1126, 0.8525], [0.1148, 0.3874, 0.1475], [0.6705, 0.1157, 0.1867], [0.1705, 0.3843, 0.8133], [0.3295, 0.6157, 0.3133], [0.8295, 0.8843, 0.6867], [0.3345, 0.8870, 0.8333], [0.8345, 0.6130, 0.1667], [0.6655, 0.3870, 0.6667], [0.1655, 0.1130, 0.3333]],
  "sg": "P2_12_12_1 (19)",
  "e_form_raw_kj_per_mol_atoms": 20.3
}

[2]
{
  "formula": "CaAc4Al3O12",
  "functional": "GGA-PBE",
  "state": "optimized geometry",
  "lattice_angstrom": [[6.9104, 0.0000, 0.0000], [-2.3035, 6.5152, 0.0000], [-2.3035, -3.2576, 5.6423]],
  "species": ["Ca", "Ac", "Ac", "Ac", "Ac", "Al", "Al", "Al", "O", "O", "O", "O", "O", "O", "O", "O", "O", "O", "O", "O"],
  "fractional_positions": [[0.0000, 0.0000, 0.0000], [0.5000, 0.5000, 0.5000], [0.0000, 0.0000, 0.5000], [0.5000, 0.0000, 0.0000], [0.0000, 0.5000, 0.0000], [0.5000, 0.0000, 0.5000], [0.5000, 0.5000, 0.0000], [0.0000, 0.5000, 0.5000], [0.2500, 0.5000, 0.7500], [0.7273, 0.0000, 0.7273], [0.2727, 0.0000, 0.2727], [0.7500, 0.5000, 0.2500], [0.7273, 0.7273, 0.0000], [0.2727, 0.2727, 0.0000], [0.7500, 0.2500, 0.5000], [0.2500, 0.7500, 0.5000], [0.5000, 0.2500, 0.7500], [0.0000, 0.7273, 0.7273], [0.5000, 0.7500, 0.2500], [0.0000, 0.2727, 0.2727]],
  "sg": "Im-3m (229)",
  "e_form_raw_kj_per_mol_atoms": -297.3
}

[3]
{
  "formula": "Ce2ZrSc",
  "functional": "GGA-PBE",
  "state": "optimized geometry",
  "lattice_angstrom": [[3.1525, 0.0000, 0.0000], [1.5762, 2.7301, 0.0000], [1.5762, 0.9100, 11.7598]],
  "species": ["Sc", "Zr", "Ce", "Ce"],
  "fractional_positions": [[0.5000, 0.5000, 0.5000], [0.0000, 0.0000, 0.0000], [0.0844, 0.0844, 0.7467], [0.9156, 0.9156, 0.2533]],
  "dft_energy_ev_per_atom": -6.46,
  "sg": "R-3m (166)"
}

[4]
{
  "formula": "BaTh2Te4",
  "functional": "GGA-PBE",
  "state": "optimized geometry",
  "lattice_angstrom": [[-1.9008, -1.7939, -3.5682], [6.5056, -12.2749, 2.7057], [-12.9394, -4.8059, 9.3090]],
  "species": ["Ba", "Ba", "Ba", "Ba", "Th", "Th", "Th", "Th", "Th", "Th", "Th", "Th", "Te", "Te", "Te", "Te", "Te", "Te", "Te", "Te", "Te", "Te", "Te", "Te", "Te", "Te", "Te", "Te"],
  "fractional_positions": [[0.2500, 0.7765, 0.3170], [0.7500, 0.2235, 0.6830], [0.2500, 0.2765, 0.1830], [0.7500, 0.7235, 0.8170], [0.7500, 0.0398, 0.9080], [0.2500, 0.9602, 0.0920], [0.7500, 0.5398, 0.5920], [0.2500, 0.4602, 0.4080], [0.2500, 0.4097, 0.9038], [0.7500, 0.5903, 0.0962], [0.2500, 0.9097, 0.5962], [0.7500, 0.0903, 0.4038], [0.7500, 0.1177, 0.0844], [0.2500, 0.8823, 0.9156], [0.7500, 0.6177, 0.4156], [0.2500, 0.3823, 0.5844], [0.7500, 0.9653, 0.7217], [0.2500, 0.0347, 0.2783], [0.7500, 0.4653, 0.7783], [0.2500, 0.5347, 0.2217], [0.7500, 0.3776, 0.0377], [0.2500, 0.6224, 0.9623], [0.7500, 0.8776, 0.4623], [0.2500, 0.1224, 0.5377], [0.2500, 0.1946, 0.8509], [0.7500, 0.8054, 0.1491], [0.2500, 0.6946, 0.6491], [0.7500, 0.3054, 0.3509]],
  "sg": "Pnma (62)",
  "e_form_raw_kj_per_mol_atoms": -123.6
}

[5]
{
  "formula": "CaLa2P2",
  "functional": "GGA-PBE",
  "state": "optimized geometry",
  "lattice_angstrom": [[-7.4415, -2.8323, -0.2424], [0.5709, -0.8239, -7.9026], [1.4324, -3.8062, 0.5003]],
  "species": ["P", "P", "P", "P", "Ca", "Ca", "La", "La", "La", "La"],
  "fractional_positions": [[0.3433, 0.8433, 0.0000], [0.8433, 0.6567, 0.0000], [0.6567, 0.1567, 0.0000], [0.1567, 0.3433, 0.0000], [0.0000, 0.0000, 0.0000], [0.5000, 0.5000, 0.0000], [0.1506, 0.6506, 0.5000], [0.6506, 0.8494, 0.5000], [0.8494, 0.3494, 0.5000], [0.3494, 0.1506, 0.5000]],
  "dft_energy_ev_per_atom": -5.77,
  "sg": "P4/mbm (127)"
}

[6]
{
  "formula": "MgAgPb2",
  "functional": "GGA-PBE",
  "state": "optimized geometry",
  "lattice_angstrom": [[4.8576, 0.0000, 0.0000], [0.0000, 3.4299, 0.0560], [0.0000, 0.7944, 6.2437]],
  "species": ["Ag", "Mg", "Pb", "Pb"],
  "fractional_positions": [[0.5000, 0.2500, 0.2500], [0.5000, 0.7500, 0.7500], [0.0000, 0.0439, 0.0065], [0.0000, 0.4561, 0.4935]],
  "dft_energy_ev_per_atom": -2.89,
  "sg": "P2/m (10)"
}

[7]
{
  "formula": "Ca2GaBCl",
  "functional": "GGA-PBE",
  "state": "optimized geometry",
  "lattice_angstrom": [[5.4073, 0.0000, 0.0000], [0.0000, 3.8912, 0.0000], [0.0000, 0.0000, 5.4073]],
  "species": ["Ca", "Ca", "B", "Ga", "Cl"],
  "fractional_positions": [[0.0000, 0.0000, 0.5000], [0.5000, 0.0000, 0.0000], [0.0000, 0.0000, 0.0000], [0.0000, 0.5000, 0.0000], [0.5000, 0.5000, 0.5000]],
  "sg": "P4/mmm (123)",
  "e_form_raw_kj_per_mol_atoms": -57.7
}

[8]
{
  "formula": "Ni4IrRh",
  "functional": "GGA-PBE",
  "state": "optimized geometry",
  "lattice_angstrom": [[-5.6826, -2.5617, -0.7256], [2.2823, -3.8059, -4.4370], [1.0569, -3.3003, 3.3745]],
  "species": ["Ni", "Ni", "Ni", "Ni", "Ni", "Ni", "Ni", "Ni", "Ir", "Ir", "Rh", "Rh"],
  "fractional_positions": [[0.3273, 0.0000, 0.2559], [0.6727, 0.0000, 0.2559], [0.0000, 0.6727, 0.7441], [0.0000, 0.3273, 0.7441], [0.5000, 0.1727, 0.7559], [0.8273, 0.5000, 0.2441], [0.1727, 0.5000, 0.2441], [0.5000, 0.8273, 0.7559], [0.0000, 0.0000, 0.5000], [0.5000, 0.5000, 0.0000], [0.0000, 0.0000, 0.0000], [0.5000, 0.5000, 0.5000]],
  "dft_energy_ev_per_atom": -5.58,
  "sg": "P4_2/nmc (137)"
}

[9]
{
  "formula": "K3Ba12Rh5",
  "functional": "GGA-PBE",
  "state": "optimized geometry",
  "lattice_angstrom": [[17.6437, 0.0000, 0.0000], [-5.8812, 16.6346, 0.0000], [-5.8812, -8.3173, 14.4060]],
  "species": ["K", "K", "K", "K", "K", "K", "K", "K", "K", "K", "K", "K", "Rh", "Rh", "Rh", "Rh", "Rh", "Rh", "Rh", "Rh", "Rh", "Rh", "Rh", "Rh", "Rh", "Rh", "Rh", "Rh", "Rh", "Rh", "Rh", "Rh", "Ba", "Ba", "Ba", "Ba", "Ba", "Ba", "Ba", "Ba", "Ba", "Ba", "Ba", "Ba", "Ba", "Ba", "Ba", "Ba", "Ba", "Ba", "Ba", "Ba", "Ba", "Ba", "Ba", "Ba", "Ba", "Ba", "Ba", "Ba", "Ba", "Ba", "Ba", "Ba", "Ba", "Ba", "Ba", "Ba", "Ba", "Ba", "Ba", "Ba", "Ba", "Ba", "Ba", "Ba", "Ba", "Ba", "Ba", "Ba"],
  "fractional_positions": [[0.7500, 0.3750, 0.1250], [0.8750, 0.7500, 0.1250], [0.3750, 0.7500, 0.6250], [0.2500, 0.1250, 0.3750], [0.8750, 0.1250, 0.2500], [0.3750, 0.6250, 0.2500], [0.6250, 0.3750, 0.7500], [0.1250, 0.8750, 0.7500], [0.7500, 0.8750, 0.6250], [0.6250, 0.2500, 0.3750], [0.1250, 0.2500, 0.8750], [0.2500, 0.6250, 0.8750], [0.1250, 0.3750, 0.2500], [0.0000, 0.5000, 0.0000], [0.0000, 0.0000, 0.0000], [0.3750, 0.2500, 0.1250], [0.5000, 0.0000, 0.5000], [0.5000, 0.5000, 0.0000], [0.1250, 0.7500, 0.3750], [0.7500, 0.1250, 0.8750], [0.7500, 0.6250, 0.3750], [0.3750, 0.1250, 0.7500], [0.6250, 0.8750, 0.2500], [0.5000, 0.5000, 0.5000], [0.5000, 0.0000, 0.0000], [0.0000, 0.0000, 0.5000], [0.2500, 0.3750, 0.6250], [0.2500, 0.8750, 0.1250], [0.0000, 0.5000, 0.5000], [0.8750, 0.2500, 0.6250], [0.6250, 0.7500, 0.8750], [0.8750, 0.6250, 0.7500], [0.6853, 0.0960, 0.9992], [0.3139, 0.4992, 0.4032], [0.0008, 0.4040, 0.3147], [0.4992, 0.1853, 0.0960], [0.5892, 0.6853, 0.6861], [0.0008, 0.5968, 0.1861], [0.3139, 0.8147, 0.4108], [0.0968, 0.9108, 0.0960], [0.5968, 0.0008, 0.6861], [0.6853, 0.5892, 0.1861], [0.8147, 0.5008, 0.4040], [0.8139, 0.9032, 0.9992], [0.0960, 0.6853, 0.4992], [0.4040, 0.4032, 0.0892], [0.0892, 0.9032, 0.4040], [0.4108, 0.0960, 0.5968], [0.0892, 0.1861, 0.1853], [0.5008, 0.6861, 0.0968], [0.8139, 0.9108, 0.3147], [0.0960, 0.4108, 0.0968], [0.4040, 0.0008, 0.8147], [0.5968, 0.5960, 0.4108], [0.9032, 0.8139, 0.4992], [0.8147, 0.3139, 0.9108], [0.4032, 0.4040, 0.5892], [0.0968, 0.1861, 0.5008], [0.1853, 0.6861, 0.0892], [0.1861, 0.0892, 0.6853], [0.5960, 0.9992, 0.1853], [0.9040, 0.5892, 0.9032], [0.4992, 0.3139, 0.9032], [0.5892, 0.9040, 0.4032], [0.9108, 0.8139, 0.8147], [0.9108, 0.0968, 0.5960], [0.9040, 0.3147, 0.5008], [0.1861, 0.0968, 0.0008], [0.5960, 0.5968, 0.9108], [0.4032, 0.9992, 0.3139], [0.3147, 0.4108, 0.8139], [0.1853, 0.4992, 0.5960], [0.9032, 0.0892, 0.9040], [0.6861, 0.1853, 0.5892], [0.5008, 0.8147, 0.9040], [0.9992, 0.4032, 0.8139], [0.4108, 0.3147, 0.3139], [0.9992, 0.5960, 0.6853], [0.6861, 0.5008, 0.5968], [0.3147, 0.9040, 0.0008]],
  "dft_energy_ev_per_atom": -3.07,
  "sg": "Ia-3d (230)"
}

[10]
{
  "formula": "Ac3Ga4Ir2",
  "functional": "GGA-PBE",
  "state": "optimized geometry",
  "lattice_angstrom": [[4.6526, 0.0000, 0.0000], [-2.3263, 5.6199, 0.0804], [0.0000, -2.1554, 8.4037]],
  "species": ["Ac", "Ac", "Ac", "Ga", "Ga", "Ga", "Ga", "Ir", "Ir"],
  "fractional_positions": [[0.6130, 0.2259, 0.6978], [0.0000, 0.0000, 0.0000], [0.3870, 0.7741, 0.3022], [0.7186, 0.4373, 0.0850], [0.2814, 0.5627, 0.9150], [0.8874, 0.7748, 0.5895], [0.1126, 0.2252, 0.4105], [0.6896, 0.3792, 0.3649], [0.3104, 0.6208, 0.6351]],
  "dft_energy_ev_per_atom": -5.29,
  "sg": "C2/m (12)"
}

[11]
{
  "formula": "NbFe2Pd6",
  "functional": "GGA-PBE",
  "state": "optimized geometry",
  "lattice_angstrom": [[8.1342, 0.0002, -5.9618], [0.0000, 3.8044, 0.0004], [-8.4650, 0.0001, 14.8893]],
  "species": ["Nb", "Nb", "Fe", "Fe", "Fe", "Fe", "Pd", "Pd", "Pd", "Pd", "Pd", "Pd", "Pd", "Pd", "Pd", "Pd", "Pd", "Pd"],
  "fractional_positions": [[0.5000, 0.5000, 0.0000], [0.0000, 0.0000, 0.5000], [0.8181, 0.5000, 0.6591], [0.6819, 0.0000, 0.8409], [0.3181, 0.0000, 0.1591], [0.1819, 0.5000, 0.3409], [0.8940, 0.0000, 0.2784], [0.4426, 0.0000, 0.3908], [0.7878, 0.0000, 0.0626], [0.7122, 0.5000, 0.4374], [0.0574, 0.5000, 0.1092], [0.6060, 0.5000, 0.2216], [0.1060, 0.0000, 0.7216], [0.5574, 0.0000, 0.6092], [0.2122, 0.0000, 0.9374], [0.2878, 0.5000, 0.5626], [0.9426, 0.5000, 0.8908], [0.3940, 0.5000, 0.7784]],
  "dft_energy_ev_per_atom": -6.67,
  "sg": "C2/m (12)"
}

[12]
{
  "formula": "Nd4YSb4",
  "functional": "GGA-PBE",
  "state": "optimized geometry",
  "lattice_angstrom": [[-3.6646, -5.9673, -4.0393], [2.1568, -5.2322, 5.7728], [-3.5145, 6.5553, 1.5940]],
  "species": ["Nd", "Nd", "Nd", "Nd", "Y", "Sb", "Sb", "Sb", "Sb"],
  "fractional_positions": [[0.5000, 0.0000, 0.0000], [0.0000, 0.5000, 0.0000], [0.3287, 0.3287, 0.6574], [0.6713, 0.6713, 0.3426], [0.0000, 0.0000, 0.0000], [0.6257, 0.6257, 0.7179], [0.3743, 0.9078, 0.2821], [0.0922, 0.0922, 0.7179], [0.9078, 0.3743, 0.2821]],
  "sg": "I-42m (121)",
  "e_form_raw_kj_per_mol_atoms": -62.9
}

[13]
{
  "formula": "LaCeTmCd",
  "functional": "GGA-PBE",
  "state": "optimized geometry",
  "lattice_angstrom": [[5.5472, 0.0000, 0.0000], [2.7736, 4.8040, 0.0000], [2.7736, 1.6013, 4.5293]],
  "species": ["Cd", "Tm", "Ce", "La"],
  "fractional_positions": [[0.7500, 0.7500, 0.7500], [0.2500, 0.2500, 0.2500], [0.0000, 0.0000, 0.0000], [0.5000, 0.5000, 0.5000]],
  "dft_energy_ev_per_atom": -4.05,
  "sg": "F-43m (216)"
}

[14]
{
  "formula": "ZnRe2S",
  "functional": "GGA-PBE",
  "state": "optimized geometry",
  "lattice_angstrom": [[3.8498, -0.5283, 1.7350], [0.7327, 1.2940, 3.9874], [0.5634, -2.8640, 3.0969]],
  "species": ["Re", "Re", "Zn", "S"],
  "fractional_positions": [[0.2500, 0.2500, 0.2500], [0.7500, 0.7500, 0.7500], [0.5000, 0.5000, 0.5000], [0.0000, 0.0000, 0.0000]],
  "sg": "Fm-3m (225)",
  "e_form_raw_kj_per_mol_atoms": 60.3
}

[15]
{
  "formula": "AlVRu3",
  "functional": "GGA-PBE",
  "state": "optimized geometry",
  "lattice_angstrom": [[4.3591, 0.0000, 0.0000], [0.0000, 4.3591, 0.0000], [0.0000, 0.0000, 4.3591]],
  "species": ["Ru", "Ru", "Ru", "Al", "V"],
  "fractional_positions": [[0.0000, 0.5000, 0.0000], [0.0000, 0.0000, 0.5000], [0.5000, 0.0000, 0.0000], [0.0000, 0.0000, 0.0000], [0.5000, 0.5000, 0.5000]],
  "dft_energy_ev_per_atom": -7.12,
  "sg": "Pm-3m (221)"
}

[16]
{
  "formula": "YV2WN",
  "functional": "GGA-PBE",
  "state": "optimized geometry",
  "lattice_angstrom": [[4.0015, 0.0000, 0.0000], [0.0000, 4.7013, 0.0000], [0.0000, 0.0000, 4.0015]],
  "species": ["Y", "N", "W", "V", "V"],
  "fractional_positions": [[0.0000, 0.5000, 0.0000], [0.0000, 0.0000, 0.0000], [0.5000, 0.5000, 0.5000], [0.0000, 0.0000, 0.5000], [0.5000, 0.0000, 0.0000]],
  "sg": "P4/mmm (123)",
  "e_form_raw_kj_per_mol_atoms": -6.5
}

[17]
{
  "formula": "SrAlCd2",
  "functional": "GGA-PBE",
  "state": "optimized geometry",
  "lattice_angstrom": [[-4.0416, -1.7818, 2.8563], [2.3041, -4.7178, 0.3172], [3.4685, -0.6082, 9.3716]],
  "species": ["Sr", "Sr", "Al", "Al", "Cd", "Cd", "Cd", "Cd"],
  "fractional_positions": [[0.0000, 0.0000, 0.0000], [0.7500, 0.2500, 0.5000], [0.5000, 0.5000, 0.0000], [0.2500, 0.7500, 0.5000], [0.4682, 0.1250, 0.2500], [0.2818, 0.6250, 0.2500], [0.3750, 0.5318, 0.7500], [0.8750, 0.7182, 0.7500]],
  "dft_energy_ev_per_atom": -1.80,
  "sg": "I-42d (122)"
}

[18]
{
  "formula": "LiCaYI2",
  "functional": "GGA-PBE",
  "state": "optimized geometry",
  "lattice_angstrom": [[-4.4621, 3.7075, 0.6102], [-3.8114, -4.8779, 1.7670], [1.4800, 0.8634, 5.5760]],
  "species": ["I", "I", "Y", "Ca", "Li"],
  "fractional_positions": [[0.0000, 0.0000, 0.5000], [0.5000, 0.0000, 0.0000], [0.5000, 0.5000, 0.5000], [0.0000, 0.0000, 0.0000], [0.0000, 0.5000, 0.0000]],
  "sg": "P4/mmm (123)",
  "e_form_raw_kj_per_mol_atoms": -3.9
}

[19]
{
  "formula": "Ti5Zn4Fe",
  "functional": "GGA-PBE",
  "state": "optimized geometry",
  "lattice_angstrom": [[3.0648, 0.0000, 0.0000], [0.0000, 3.0648, 0.0000], [0.0000, 0.0000, 15.9925]],
  "species": ["Ti", "Ti", "Ti", "Ti", "Ti", "Zn", "Zn", "Zn", "Zn", "Fe"],
  "fractional_positions": [[0.5000, 0.5000, 0.0889], [0.5000, 0.5000, 0.2947], [0.5000, 0.5000, 0.5000], [0.5000, 0.5000, 0.7053], [0.5000, 0.5000, 0.9111], [0.0000, 0.0000, 0.1923], [0.0000, 0.0000, 0.3977], [0.0000, 0.0000, 0.6023], [0.0000, 0.0000, 0.8077], [0.0000, 0.0000, 0.0000]],
  "dft_energy_ev_per_atom": -5.52,
  "sg": "P4/mmm (123)"
}

[20]
{
  "formula": "TaHCl2",
  "functional": "GGA-PBE",
  "state": "optimized geometry",
  "lattice_angstrom": [[1.8178, 0.0000, 9.6970], [-0.9089, 1.5743, 9.6970], [-0.9089, -1.5743, 9.6970]],
  "species": ["H", "Cl", "Cl", "Ta"],
  "fractional_positions": [[0.0000, 0.0000, 0.0000], [0.8952, 0.8952, 0.8952], [0.1048, 0.1048, 0.1048], [0.5000, 0.5000, 0.5000]],
  "dft_energy_ev_per_atom": -4.78,
  "sg": "R-3m (166)"
}

Calculated magnetization, 16.00 0.09 0.00 0.00 0.00 0.00 0.00 7.08 0.00 0.00 12.62 0.00 1.46 0.00 0.20 0.16 0.00 0.03 0.23 0.99 μB per cell (same order as the records).
Calculated density of states at the Fermi level, 18.85 17.19 10.09 16.56 3.97 1.32 2.33 21.47 66.79 6.95 13.76 7.16 9.97 2.69 4.33 5.01 5.12 4.07 5.79 0.91 states/eV/cell (same order as the records).